The following is a PBE calculation of a geometry-optimized PuCo2Ge4 structure, from Alexandria.

- Theoretical density: 9.8 Mg/m³
- DFT formation energy: -0.33 eV/atom

Unit cell a=4.0845 b=6.4228 c=16.9263 alpha=90.00 beta=90.00 gamma=90.00
Last column: nearest neighbours and their distance in Å.
Element x y z (fractional)
Ge1 0.2500 0.2914 0.6977  3 Co 2.44-2.46, 1 Ge 2.68
Ge2 0.7500 0.7086 0.3023  3 Co 2.44-2.46, 1 Ge 2.68
Ge3 0.7500 0.7914 0.8023  3 Co 2.44-2.46, 1 Ge 2.68
Ge4 0.2500 0.2086 0.1977  3 Co 2.44-2.46, 1 Ge 2.68
Ge5 0.2500 0.7064 0.6823  4 Co 2.50-2.60, 1 Ge 2.68
Ge6 0.7500 0.2936 0.3177  4 Co 2.50-2.60, 1 Ge 2.68
Ge7 0.7500 0.2064 0.8177  4 Co 2.50-2.60, 1 Ge 2.68
Ge8 0.2500 0.7936 0.1823  4 Co 2.50-2.60, 1 Ge 2.68
Ge9 0.2500 0.1377 0.5288  3 Co 2.42-2.53
Ge10 0.7500 0.8623 0.4712  3 Co 2.42-2.53
Ge11 0.7500 0.6377 0.9712  3 Co 2.42-2.53
Ge12 0.2500 0.3623 0.0288  3 Co 2.42-2.53
Ge13 0.2500 0.4821 0.4315  4 Co 2.40-2.57
Ge14 0.7500 0.5179 0.5685  4 Co 2.40-2.57
Ge15 0.7500 0.9821 0.0685  4 Co 2.40-2.57
Ge16 0.2500 0.0179 0.9315  4 Co 2.40-2.57
Co1 0.2500 0.7441 0.5341  7 Ge 2.42-2.57
Co2 0.7500 0.2559 0.4659  7 Ge 2.42-2.57
Co3 0.7500 0.2441 0.9659  7 Ge 2.42-2.57
Co4 0.2500 0.7559 0.0341  7 Ge 2.42-2.57
Co5 0.2500 0.9953 0.7897  7 Ge 2.40-2.60
Co6 0.7500 0.0047 0.2103  7 Ge 2.40-2.60
Co7 0.7500 0.4953 0.7103  7 Ge 2.40-2.60
Co8 0.2500 0.5047 0.2897  7 Ge 2.40-2.60
Pu1 0.7500 0.0121 0.6407  8 Ge 2.88-3.08, 2 Co 3.22
Pu2 0.2500 0.9879 0.3593  8 Ge 2.88-3.08, 2 Co 3.22
Pu3 0.2500 0.5121 0.8593  8 Ge 2.88-3.08, 2 Co 3.22
Pu4 0.7500 0.4879 0.1407  8 Ge 2.88-3.08, 2 Co 3.22

The following is a PBE calculation of a geometry-optimized PuCo4Ge2 structure, from Alexandria.

- Theoretical density: 10.5 Mg/m³
- DFT formation energy: -0.25 eV/atom

Unit cell a=3.7482 b=7.2575 c=7.2575 alpha=90.00 beta=90.00 gamma=90.00
Last column: nearest neighbours and their distance in Å.
Element x y z (fractional)
Ge1 0.0000 0.2205 0.7795  6 Co 2.41
Ge2 0.0000 0.7795 0.2205  6 Co 2.41
Ge3 0.5000 0.7205 0.7205  6 Co 2.41
Ge4 0.5000 0.2795 0.2795  6 Co 2.41
Co1 0.0000 0.0842 0.3536  3 Ge 2.41, 5 Co 2.45-2.55
Co2 0.0000 0.9158 0.6464  3 Ge 2.41, 5 Co 2.45-2.55
Co3 0.5000 0.1464 0.5842  3 Ge 2.41, 5 Co 2.45-2.55
Co4 0.5000 0.8536 0.4158  3 Ge 2.41, 5 Co 2.45-2.55
Co5 0.5000 0.4158 0.8536  3 Ge 2.41, 5 Co 2.45-2.55
Co6 0.5000 0.5842 0.1464  3 Ge 2.41, 5 Co 2.45-2.55
Co7 0.0000 0.3536 0.0842  3 Ge 2.41, 5 Co 2.45-2.55
Co8 0.0000 0.6464 0.9158  3 Ge 2.41, 5 Co 2.45-2.55
Pu1 0.5000 0.0000 0.0000  6 Ge 2.87-2.94, 4 Co 3.20
Pu2 0.0000 0.5000 0.5000  6 Ge 2.87-2.94, 4 Co 3.20

Number 1: E -7.0470 eV/atom. Number 2: E -7.6741 eV/atom.